Entry 1:
# TbNd2DySc (GGA-PBE, optimized geometry)
# Formation energy from the elements: 1.03 eV/f.u.
# Crystal system: orthorhombic
data_TbNd2DySc
_cell_length_a 6.541
_cell_length_b 7.872
_cell_length_c 6.239
_cell_angle_alpha 90.00
_cell_angle_beta 90.00
_cell_angle_gamma 90.00
_symmetry_space_group_name_H-M 'P 1'
_symmetry_Int_Tables_number 1
_symmetry_space_group_name_Hall 'P 1'
loop_
_atom_site_label
_atom_site_fract_x
_atom_site_fract_y
_atom_site_fract_z
_atom_site_occupancy
Nd1 0.214 0.703 0.250 1
Nd2 0.786 0.703 0.750 1
Nd3 0.214 0.297 0.250 1
Nd4 0.786 0.297 0.750 1
Tb1 0.589 0.000 0.250 1
Tb2 0.411 0.000 0.750 1
Dy1 0.312 0.500 0.750 1
Dy2 0.688 0.500 0.250 1
Sc1 0.000 0.000 0.500 1
Sc2 0.000 0.000 0.000 1

Entry 2:
# AcFeS2 (GGA-PBE, optimized geometry)
# Formation energy from raw total energies: -4.1 eV/f.u.
# Crystal system: trigonal
data_AcFeS2
_cell_length_a 4.159
_cell_length_b 4.159
_cell_length_c 6.235
_cell_angle_alpha 70.51
_cell_angle_beta 70.51
_cell_angle_gamma 60.00
_symmetry_space_group_name_H-M 'P 1'
_symmetry_Int_Tables_number 1
_symmetry_space_group_name_Hall 'P 1'
loop_
_atom_site_label
_atom_site_fract_x
_atom_site_fract_y
_atom_site_fract_z
_atom_site_occupancy
S1 0.267 0.267 0.200 1
S2 0.733 0.733 0.800 1
Fe1 0.000 0.000 0.000 1
Ac1 0.500 0.500 0.500 1

Entry 3:
# TlGe2P (GGA-PBE, optimized geometry)
# Formation energy from the elements: 0.77 eV/f.u.
# Crystal system: tetragonal
data_TlGe2P
_cell_length_a 6.049
_cell_length_b 6.049
_cell_length_c 7.147
_cell_angle_alpha 64.96
_cell_angle_beta 64.96
_cell_angle_gamma 90.00
_symmetry_space_group_name_H-M 'P 1'
_symmetry_Int_Tables_number 1
_symmetry_space_group_name_Hall 'P 1'
loop_
_atom_site_label
_atom_site_fract_x
_atom_site_fract_y
_atom_site_fract_z
_atom_site_occupancy
Tl1 0.000 0.000 0.000 1
Tl2 0.750 0.250 0.500 1
Ge1 0.375 0.417 0.750 1
Ge2 0.875 0.833 0.750 1
Ge3 0.167 0.625 0.250 1
Ge4 0.583 0.125 0.250 1
P1 0.500 0.500 0.000 1
P2 0.250 0.750 0.500 1

Entry 4:
# HfNi7Ge2 (GGA-PBE, optimized geometry)
# Formation energy from the elements: 0.56 eV/f.u.
# Crystal system: orthorhombic
data_HfNi7Ge2
_cell_length_a 4.100
_cell_length_b 6.625
_cell_length_c 6.625
_cell_angle_alpha 120.32
_cell_angle_beta 90.00
_cell_angle_gamma 90.00
_symmetry_space_group_name_H-M 'P 1'
_symmetry_Int_Tables_number 1
_symmetry_space_group_name_Hall 'P 1'
loop_
_atom_site_label
_atom_site_fract_x
_atom_site_fract_y
_atom_site_fract_z
_atom_site_occupancy
Ge1 0.500 0.301 0.699 1
Ge2 0.500 0.699 0.301 1
Ni1 0.500 0.293 0.070 1
Ni2 0.500 0.070 0.293 1
Ni3 0.500 0.500 0.500 1
Ni4 0.500 0.707 0.930 1
Ni5 0.000 0.215 0.785 1
Ni6 0.500 0.930 0.707 1
Ni7 0.000 0.785 0.215 1
Hf1 0.000 0.000 0.000 1

Entry 5:
# Th2SI2 (GGA-PBE, optimized geometry)
# Formation energy from raw total energies: -7.0 eV/f.u.
# Crystal system: monoclinic
data_Th2SI2
_cell_length_a 4.174
_cell_length_b 4.174
_cell_length_c 12.159
_cell_angle_alpha 81.22
_cell_angle_beta 80.12
_cell_angle_gamma 60.00
_symmetry_space_group_name_H-M 'P 1'
_symmetry_Int_Tables_number 1
_symmetry_space_group_name_Hall 'P 1'
loop_
_atom_site_label
_atom_site_fract_x
_atom_site_fract_y
_atom_site_fract_z
_atom_site_occupancy
I1 0.446 0.912 0.196 1
I2 0.554 0.088 0.804 1
S1 0.000 0.500 0.500 1
Th1 0.712 0.198 0.379 1
Th2 0.288 0.802 0.621 1

Entry 6:
# TiOs2RhO (GGA-PBE, optimized geometry)
# Formation energy from raw total energies: 10.9 eV/f.u.
# Crystal system: tetragonal
data_TiOs2RhO
_cell_length_a 4.604
_cell_length_b 4.583
_cell_length_c 4.604
_cell_angle_alpha 90.00
_cell_angle_beta 90.00
_cell_angle_gamma 90.00
_symmetry_space_group_name_H-M 'P 1'
_symmetry_Int_Tables_number 1
_symmetry_space_group_name_Hall 'P 1'
loop_
_atom_site_label
_atom_site_fract_x
_atom_site_fract_y
_atom_site_fract_z
_atom_site_occupancy
Os1 0.000 0.000 0.500 1
Os2 0.500 0.000 0.000 1
Rh1 0.000 0.500 0.000 1
O1 0.500 0.500 0.500 1
Ti1 0.000 0.000 0.000 1

Entry 7:
# SmCu4Pd4 (GGA-PBE, optimized geometry)
# Formation energy from the elements: -1.45 eV/f.u.
# Crystal system: tetragonal
data_SmCu4Pd4
_cell_length_a 4.617
_cell_length_b 7.936
_cell_length_c 7.936
_cell_angle_alpha 90.00
_cell_angle_beta 90.00
_cell_angle_gamma 90.00
_symmetry_space_group_name_H-M 'P 1'
_symmetry_Int_Tables_number 1
_symmetry_space_group_name_Hall 'P 1'
loop_
_atom_site_label
_atom_site_fract_x
_atom_site_fract_y
_atom_site_fract_z
_atom_site_occupancy
Pd1 0.001 0.934 0.349 1
Pd2 0.001 0.066 0.651 1
Pd3 0.999 0.651 0.934 1
Pd4 0.999 0.349 0.066 1
Pd5 0.501 0.849 0.566 1
Pd6 0.499 0.566 0.151 1
Pd7 0.499 0.434 0.849 1
Pd8 0.501 0.151 0.434 1
Cu1 0.000 0.624 0.282 1
Cu2 0.500 0.876 0.218 1
Cu3 0.000 0.376 0.718 1
Cu4 0.000 0.282 0.376 1
Cu5 0.500 0.124 0.782 1
Cu6 0.000 0.718 0.624 1
Cu7 0.500 0.782 0.876 1
Cu8 0.500 0.218 0.124 1
Sm1 0.000 0.000 0.000 1
Sm2 0.500 0.500 0.500 1

Entry 8:
# InNiHg (GGA-PBE, optimized geometry)
# Formation energy from the elements: 0.58 eV/f.u.
# Crystal system: trigonal
data_InNiHg
_cell_length_a 3.275
_cell_length_b 3.275
_cell_length_c 6.393
_cell_angle_alpha 90.00
_cell_angle_beta 90.00
_cell_angle_gamma 120.00
_symmetry_space_group_name_H-M 'P 1'
_symmetry_Int_Tables_number 1
_symmetry_space_group_name_Hall 'P 1'
loop_
_atom_site_label
_atom_site_fract_x
_atom_site_fract_y
_atom_site_fract_z
_atom_site_occupancy
In1 0.667 0.333 0.373 1
Hg1 0.000 0.000 0.965 1
Ni1 0.333 0.667 0.662 1

Entry 9:
# LiCd2Au2 (GGA-PBE, optimized geometry)
# Formation energy from the elements: -1.19 eV/f.u.
# Crystal system: tetragonal
data_LiCd2Au2
_cell_length_a 8.149
_cell_length_b 8.149
_cell_length_c 3.101
_cell_angle_alpha 90.00
_cell_angle_beta 90.00
_cell_angle_gamma 90.00
_symmetry_space_group_name_H-M 'P 1'
_symmetry_Int_Tables_number 1
_symmetry_space_group_name_Hall 'P 1'
loop_
_atom_site_label
_atom_site_fract_x
_atom_site_fract_y
_atom_site_fract_z
_atom_site_occupancy
Cd1 0.131 0.369 0.000 1
Cd2 0.369 0.869 0.000 1
Cd3 0.631 0.131 0.000 1
Cd4 0.869 0.631 0.000 1
Au1 0.169 0.669 0.500 1
Au2 0.669 0.831 0.500 1
Au3 0.831 0.331 0.500 1
Au4 0.331 0.169 0.500 1
Li1 0.000 0.000 0.000 1
Li2 0.500 0.500 0.000 1

Entry 10:
# Ho4Te5Se (GGA-PBE, optimized geometry)
# Formation energy from raw total energies: -13.9 eV/f.u.
# Crystal system: monoclinic
data_Ho4Te5Se
_cell_length_a 4.269
_cell_length_b 8.658
_cell_length_c 9.597
_cell_angle_alpha 103.13
_cell_angle_beta 102.85
_cell_angle_gamma 90.00
_symmetry_space_group_name_H-M 'P 1'
_symmetry_Int_Tables_number 1
_symmetry_space_group_name_Hall 'P 1'
loop_
_atom_site_label
_atom_site_fract_x
_atom_site_fract_y
_atom_site_fract_z
_atom_site_occupancy
Ho1 0.003 0.250 0.005 1
Ho2 0.331 0.906 0.662 1
Ho3 0.669 0.094 0.338 1
Ho4 0.997 0.750 0.995 1
Te1 0.836 0.166 0.672 1
Te2 0.164 0.834 0.328 1
Te3 0.165 0.335 0.329 1
Te4 0.835 0.665 0.671 1
Te5 0.500 0.500 0.000 1
Se1 0.500 0.000 0.000 1

Entry 11:
# Tm5Mg2Pb4 (GGA-PBE, optimized geometry)
# Formation energy from the elements: -1.51 eV/f.u.
# Crystal system: orthorhombic
data_Tm5Mg2Pb4
_cell_length_a 3.537
_cell_length_b 8.986
_cell_length_c 11.047
_cell_angle_alpha 113.99
_cell_angle_beta 99.21
_cell_angle_gamma 90.00
_symmetry_space_group_name_H-M 'P 1'
_symmetry_Int_Tables_number 1
_symmetry_space_group_name_Hall 'P 1'
loop_
_atom_site_label
_atom_site_fract_x
_atom_site_fract_y
_atom_site_fract_z
_atom_site_occupancy
Pb1 0.279 0.279 0.559 1
Pb2 0.000 0.712 0.000 1
Pb3 0.721 0.721 0.441 1
Pb4 0.000 0.288 0.000 1
Mg1 0.420 0.420 0.841 1
Mg2 0.580 0.580 0.159 1
Tm1 0.154 0.947 0.308 1
Tm2 0.500 0.000 0.000 1
Tm3 0.846 0.639 0.692 1
Tm4 0.846 0.053 0.692 1
Tm5 0.154 0.361 0.308 1

Entry 12:
# PbW3 (GGA-PBE, optimized geometry)
# Formation energy from the elements: 2.75 eV/f.u.
# Crystal system: orthorhombic
data_PbW3
_cell_length_a 2.894
_cell_length_b 2.894
_cell_length_c 9.441
_cell_angle_alpha 90.00
_cell_angle_beta 90.00
_cell_angle_gamma 110.87
_symmetry_space_group_name_H-M 'P 1'
_symmetry_Int_Tables_number 1
_symmetry_space_group_name_Hall 'P 1'
loop_
_atom_site_label
_atom_site_fract_x
_atom_site_fract_y
_atom_site_fract_z
_atom_site_occupancy
W1 0.500 0.500 0.725 1
W2 0.000 0.000 0.500 1
W3 0.500 0.500 0.275 1
Pb1 0.000 0.000 0.000 1

Entry 13:
# ThIr4Pb (GGA-PBE, optimized geometry)
# Formation energy from the elements: -2.26 eV/f.u.
# Crystal system: cubic
data_ThIr4Pb
_cell_length_a 5.430
_cell_length_b 5.430
_cell_length_c 5.430
_cell_angle_alpha 60.00
_cell_angle_beta 60.00
_cell_angle_gamma 60.00
_symmetry_space_group_name_H-M 'P 1'
_symmetry_Int_Tables_number 1
_symmetry_space_group_name_Hall 'P 1'
loop_
_atom_site_label
_atom_site_fract_x
_atom_site_fract_y
_atom_site_fract_z
_atom_site_occupancy
Ir1 0.127 0.624 0.624 1
Ir2 0.624 0.127 0.624 1
Ir3 0.624 0.624 0.127 1
Ir4 0.624 0.624 0.624 1
Th1 0.000 0.000 0.000 1
Pb1 0.250 0.250 0.250 1

Entry 14:
# HoMgZn2Pd2 (GGA-PBE, optimized geometry)
# Formation energy from the elements: -3.65 eV/f.u.
# Crystal system: trigonal
data_HoMgZn2Pd2
_cell_length_a 4.418
_cell_length_b 4.418
_cell_length_c 6.475
_cell_angle_alpha 90.00
_cell_angle_beta 90.00
_cell_angle_gamma 120.00
_symmetry_space_group_name_H-M 'P 1'
_symmetry_Int_Tables_number 1
_symmetry_space_group_name_Hall 'P 1'
loop_
_atom_site_label
_atom_site_fract_x
_atom_site_fract_y
_atom_site_fract_z
_atom_site_occupancy
Zn1 0.333 0.667 0.716 1
Zn2 0.667 0.333 0.284 1
Ho1 0.000 0.000 0.000 1
Mg1 0.000 0.000 0.500 1
Pd1 0.333 0.667 0.285 1
Pd2 0.667 0.333 0.715 1

Entry 15:
# Ni23MoPt6 (GGA-PBE, optimized geometry)
# Formation energy from the elements: 1.61 eV/f.u.
# Crystal system: cubic
data_Ni23MoPt6
_cell_length_a 8.040
_cell_length_b 8.040
_cell_length_c 8.040
_cell_angle_alpha 60.00
_cell_angle_beta 60.00
_cell_angle_gamma 60.00
_symmetry_space_group_name_H-M 'P 1'
_symmetry_Int_Tables_number 1
_symmetry_space_group_name_Hall 'P 1'
loop_
_atom_site_label
_atom_site_fract_x
_atom_site_fract_y
_atom_site_fract_z
_atom_site_occupancy
Pt1 0.729 0.271 0.271 1
Pt2 0.271 0.729 0.271 1
Pt3 0.271 0.729 0.729 1
Pt4 0.729 0.729 0.271 1
Pt5 0.729 0.271 0.729 1
Pt6 0.271 0.271 0.729 1
Ni1 0.662 0.013 0.662 1
Ni2 0.877 0.877 0.369 1
Ni3 0.500 0.500 0.000 1
Ni4 0.338 0.987 0.338 1
Ni5 0.338 0.338 0.338 1
Ni6 0.123 0.631 0.123 1
Ni7 0.369 0.877 0.877 1
Ni8 0.662 0.662 0.662 1
Ni9 0.123 0.123 0.631 1
Ni10 0.000 0.000 0.500 1
Ni11 0.013 0.662 0.662 1
Ni12 0.662 0.662 0.013 1
Ni13 0.877 0.369 0.877 1
Ni14 0.000 0.500 0.000 1
Ni15 0.500 0.000 0.500 1
Ni16 0.000 0.500 0.500 1
Ni17 0.500 0.000 0.000 1
Ni18 0.123 0.123 0.123 1
Ni19 0.338 0.338 0.987 1
Ni20 0.000 0.000 0.000 1
Ni21 0.987 0.338 0.338 1
Ni22 0.631 0.123 0.123 1
Ni23 0.877 0.877 0.877 1
Mo1 0.500 0.500 0.500 1

Entry 16:
# YOsC3 (GGA-PBE, optimized geometry)
# Formation energy from the elements: 17.45 eV/f.u.
# Crystal system: cubic
data_YOsC3
_cell_length_a 4.237
_cell_length_b 4.237
_cell_length_c 4.237
_cell_angle_alpha 90.00
_cell_angle_beta 90.00
_cell_angle_gamma 90.00
_symmetry_space_group_name_H-M 'P 1'
_symmetry_Int_Tables_number 1
_symmetry_space_group_name_Hall 'P 1'
loop_
_atom_site_label
_atom_site_fract_x
_atom_site_fract_y
_atom_site_fract_z
_atom_site_occupancy
Y1 0.000 0.000 0.000 1
C1 0.000 0.500 0.000 1
C2 0.500 0.000 0.000 1
C3 0.000 0.000 0.500 1
Os1 0.500 0.500 0.500 1

Entry 17:
# Ti3In4 (GGA-PBE, optimized geometry)
# Formation energy from the elements: -0.26 eV/f.u.
# Crystal system: tetragonal
data_Ti3In4
_cell_length_a 9.984
_cell_length_b 9.984
_cell_length_c 2.978
_cell_angle_alpha 90.00
_cell_angle_beta 90.00
_cell_angle_gamma 90.00
_symmetry_space_group_name_H-M 'P 1'
_symmetry_Int_Tables_number 1
_symmetry_space_group_name_Hall 'P 1'
loop_
_atom_site_label
_atom_site_fract_x
_atom_site_fract_y
_atom_site_fract_z
_atom_site_occupancy
In1 0.788 0.939 0.000 1
In2 0.939 0.212 0.000 1
In3 0.061 0.788 0.000 1
In4 0.439 0.288 0.000 1
In5 0.288 0.561 0.000 1
In6 0.712 0.439 0.000 1
In7 0.212 0.061 0.000 1
In8 0.561 0.712 0.000 1
Ti1 0.324 0.824 0.500 1
Ti2 0.176 0.324 0.500 1
Ti3 0.000 0.500 0.000 1
Ti4 0.824 0.676 0.500 1
Ti5 0.500 0.000 0.000 1
Ti6 0.676 0.176 0.500 1

Entry 18:
# CsTl3Ni (GGA-PBE, optimized geometry)
# Formation energy from the elements: 0.36 eV/f.u.
# Crystal system: cubic
data_CsTl3Ni
_cell_length_a 5.379
_cell_length_b 5.379
_cell_length_c 5.379
_cell_angle_alpha 90.00
_cell_angle_beta 90.00
_cell_angle_gamma 90.00
_symmetry_space_group_name_H-M 'P 1'
_symmetry_Int_Tables_number 1
_symmetry_space_group_name_Hall 'P 1'
loop_
_atom_site_label
_atom_site_fract_x
_atom_site_fract_y
_atom_site_fract_z
_atom_site_occupancy
Tl1 0.000 0.500 0.000 1
Tl2 0.500 0.000 0.000 1
Tl3 0.000 0.000 0.500 1
Ni1 0.000 0.000 0.000 1
Cs1 0.500 0.500 0.500 1

Entry 19:
# Tb6Pm2NdSm (GGA-PBE, optimized geometry)
# Formation energy from the elements: 1.20 eV/f.u.
# Crystal system: monoclinic
data_Tb6Pm2NdSm
_cell_length_a 9.826
_cell_length_b 8.828
_cell_length_c 8.828
_cell_angle_alpha 118.06
_cell_angle_beta 94.70
_cell_angle_gamma 94.70
_symmetry_space_group_name_H-M 'P 1'
_symmetry_Int_Tables_number 1
_symmetry_space_group_name_Hall 'P 1'
loop_
_atom_site_label
_atom_site_fract_x
_atom_site_fract_y
_atom_site_fract_z
_atom_site_occupancy
Nd1 0.250 0.405 0.595 1
Nd2 0.750 0.595 0.405 1
Tb1 0.557 0.742 0.121 1
Tb2 0.316 0.974 0.424 1
Tb3 0.379 0.504 0.295 1
Tb4 0.943 0.879 0.258 1
Tb5 0.684 0.026 0.576 1
Tb6 0.121 0.705 0.496 1
Tb7 0.621 0.496 0.705 1
Tb8 0.184 0.576 0.026 1
Tb9 0.443 0.258 0.879 1
Tb10 0.057 0.121 0.742 1
Tb11 0.816 0.424 0.974 1
Tb12 0.879 0.295 0.504 1
Sm1 0.250 0.982 0.018 1
Sm2 0.750 0.018 0.982 1
Pm1 0.958 0.708 0.810 1
Pm2 0.042 0.292 0.190 1
Pm3 0.542 0.190 0.292 1
Pm4 0.458 0.810 0.708 1

Entry 20:
# YHoAlIn (GGA-PBE, optimized geometry)
# Formation energy from the elements: -1.73 eV/f.u.
# Crystal system: tetragonal
data_YHoAlIn
_cell_length_a 3.602
_cell_length_b 3.602
_cell_length_c 7.678
_cell_angle_alpha 90.00
_cell_angle_beta 90.00
_cell_angle_gamma 90.00
_symmetry_space_group_name_H-M 'P 1'
_symmetry_Int_Tables_number 1
_symmetry_space_group_name_Hall 'P 1'
loop_
_atom_site_label
_atom_site_fract_x
_atom_site_fract_y
_atom_site_fract_z
_atom_site_occupancy
Al1 0.000 0.000 0.355 1
Ho1 0.500 0.500 0.119 1
In1 0.000 0.000 0.859 1
Y1 0.500 0.500 0.595 1

Calculated DFT total energy in order - -4.813 -6.233 -4.060 -5.909 -5.812 -6.361 -4.814 -2.746 -2.299 -5.142 -3.808 -9.954 -8.138 -3.792 -5.948 -5.584 -4.985 -2.675 -4.557 -4.814 eV per atom